SrZn2HgTe | PBE-GGA | relaxed

Its magnetization is 0.0 μB per cell. Its space group is P4/mmm (123). For the uncorrected formation energy, the calculation gives -0.22 eV/atom. The density of states at the Fermi level is 1.52 states/eV/f.u.

a b c (Å): 4.941 6.848 4.941
angles (deg): 90.00 90.00 90.00
Element x y z (fractional)
Sr: 0.500 0.500 0.500
Te: 0.000 0.500 0.000
Hg: 0.000 0.000 0.000
Zn: 0.500 0.000 0.000
Zn: 0.000 0.000 0.500


SrThHg | PBE-GGA | relaxed

The calculated formation energy is 0.037 eV per atom. Its magnetization is 0.0 μB per cell. Its space group is Amm2 (38). The density of states at the Fermi level is 4.57 states/eV/f.u.

a b c (Å): 3.756 3.758 16.634
angles (deg): 90.00 90.00 119.98
Element x y z (fractional)
Sr: 0.279 0.557 0.846
Sr: 0.279 0.557 0.154
Hg: 0.612 0.224 0.000
Hg: 0.277 0.554 0.500
Th: 0.610 0.220 0.650
Th: 0.610 0.220 0.350


SrTh2Hg3 | PBE-GGA | relaxed

The calculated formation energy is -0.291 eV per atom. Its magnetization is 0.0 μB per cell. Its space group is P4/mmm (123). The density of states at the Fermi level is 6.03 states/eV/f.u.

a b c (Å): 3.841 3.841 11.889
angles (deg): 90.00 90.00 90.00
Element x y z (fractional)
Th: 0.500 0.500 0.838
Th: 0.500 0.500 0.162
Hg: 0.000 0.000 0.320
Hg: 0.000 0.000 0.000
Hg: 0.000 0.000 0.680
Sr: 0.500 0.500 0.500


SrThHg4 | PBE-GGA | relaxed

The calculated formation energy is -0.357 eV per atom. Its magnetization is 0.0 μB per cell. Its space group is Pmmm (47). The density of states at the Fermi level is 1.89 states/eV/f.u.

a b c (Å): 3.501 5.121 8.869
angles (deg): 90.00 90.00 90.00
Element x y z (fractional)
Sr: 0.999 0.497 0.998
Hg: 0.499 0.997 0.166
Hg: 0.499 0.497 0.664
Hg: 0.499 0.497 0.332
Hg: 0.499 0.997 0.831
Th: 0.999 0.997 0.498


Sr2ThHg4 | PBE-GGA | relaxed

The calculated formation energy is -0.302 eV per atom. Its magnetization is 0.0 μB per cell. Its space group is I4/mmm (139). The density of states at the Fermi level is 4.34 states/eV/f.u.

a b c (Å): 5.583 5.583 8.226
angles (deg): 109.84 109.84 90.00
Element x y z (fractional)
Hg: 0.610 0.110 0.220
Hg: 0.390 0.890 0.780
Hg: 0.890 0.390 0.780
Hg: 0.110 0.610 0.220
Sr: 0.730 0.730 0.460
Sr: 0.270 0.270 0.540
Th: 0.000 0.000 0.000


Sr3ThHg4 | PBE-GGA | relaxed

The calculated formation energy is -0.439 eV per atom. Its magnetization is 0.0 μB per cell. Its space group is P4/mmm (123). The density of states at the Fermi level is 5.16 states/eV/f.u.

a b c (Å): 3.905 3.905 16.186
angles (deg): 90.00 90.00 90.00
Element x y z (fractional)
Hg: 0.000 0.000 0.627
Hg: 0.000 0.000 0.885
Hg: 0.000 0.000 0.115
Hg: 0.000 0.000 0.373
Sr: 0.500 0.500 0.754
Sr: 0.500 0.500 0.500
Sr: 0.500 0.500 0.246
Th: 0.500 0.500 0.000